Material: YHf2InC
Method: DFT, PBE
State: optimized geometry

Properties
The calculated formation energy is -2.27 eV/f.u. The value obtained for the spin magnetization is 0.000 μB per atom. The calculation puts the total DFT energy (no corrections) at -8.1199 eV/atom.

```
YHf2InC
1.0
4.546 0.000 0.000
0.000 4.546 0.000
0.000 0.000 4.854
Y Hf In C
1 2 1 1
Direct
0.000 0.000 0.000 Y
0.000 0.500 0.500 Hf
0.500 0.000 0.500 Hf
0.500 0.500 0.000 In
0.000 0.000 0.500 C
```



Material: NaBi5
Method: DFT, PBE
State: optimized geometry

Properties
The calculated formation energy is -0.05 eV/f.u. The value obtained for the spin magnetization is 0.000 μB per atom. The calculation puts the total DFT energy (no corrections) at -3.4629 eV/atom.

```
NaBi5
1.0
2.632 -8.250 0.000
2.632 8.250 0.000
0.000 0.000 4.361
Na Bi
1 5
Direct
0.000 0.000 0.000 Na
0.182 0.818 0.500 Bi
0.348 0.652 0.000 Bi
0.500 0.500 0.500 Bi
0.652 0.348 0.000 Bi
0.818 0.182 0.500 Bi
```



Material: PrMgSn
Method: DFT, PBE
State: optimized geometry

Properties
The calculated formation energy is -1.68 eV/f.u. The value obtained for the spin magnetization is 0.079 μB per atom. The calculation puts the total DFT energy (no corrections) at -4.0190 eV/atom.

```
PrMgSn
1.0
4.563 0.000 0.000
0.000 4.563 0.000
0.000 0.000 7.992
Pr Mg Sn
2 2 2
Direct
0.250 0.250 0.154 Pr
0.750 0.750 0.846 Pr
0.250 0.750 0.500 Mg
0.750 0.250 0.500 Mg
0.250 0.250 0.744 Sn
0.750 0.750 0.256 Sn
```



Material: DyHo6Zn
Method: DFT, PBE
State: optimized geometry

Properties
The calculated formation energy is 0.37 eV/f.u. The value obtained for the spin magnetization is 0.000 μB per atom. The calculation puts the total DFT energy (no corrections) at -4.1212 eV/atom.

```
DyHo6Zn
1.0
4.600 2.656 3.232
-4.600 2.656 3.232
0.000 -5.312 3.232
Dy Ho Zn
1 6 1
Direct
0.000 0.000 0.000 Dy
0.075 0.544 0.263 Ho
0.263 0.075 0.544 Ho
0.456 0.737 0.925 Ho
0.544 0.263 0.075 Ho
0.737 0.925 0.456 Ho
0.925 0.456 0.737 Ho
0.500 0.500 0.500 Zn
```



Material: LaTh2Co6
Method: DFT, PBE
State: optimized geometry

Properties
The calculated formation energy is -1.51 eV/f.u. The value obtained for the spin magnetization is 0.245 μB per atom. The calculation puts the total DFT energy (no corrections) at -7.1011 eV/atom.

```
LaTh2Co6
1.0
6.871 0.000 0.000
-3.435 5.950 0.000
0.000 0.000 4.037
La Th Co
1 2 6
Direct
0.000 0.000 0.000 La
0.333 0.667 0.000 Th
0.667 0.333 0.000 Th
0.000 0.336 0.500 Co
0.000 0.664 0.500 Co
0.336 0.000 0.500 Co
0.336 0.336 0.500 Co
0.664 0.000 0.500 Co
0.664 0.664 0.500 Co
```



Material: Re2AsPt
Method: DFT, PBE
State: optimized geometry

Properties
The calculated formation energy is 1.19 eV/f.u. The value obtained for the spin magnetization is 0.000 μB per atom. The calculation puts the total DFT energy (no corrections) at -8.5983 eV/atom.

```
Re2AsPt
1.0
4.671 -1.426 0.000
4.671 1.426 0.000
-1.565 0.000 4.632
Re As Pt
2 1 1
Direct
0.227 0.227 0.255 Re
0.773 0.773 0.745 Re
0.500 0.500 0.000 As
0.000 0.000 0.500 Pt
```



Material: Sc2TlSn
Method: DFT, PBE
State: optimized geometry

Properties
The polymorph energy (0 for the lowest one) comes out at 5 meV/atom. The calculated formation energy is -1.61 eV/f.u. The value obtained for the spin magnetization is 0.000 μB per atom. The calculation puts the total DFT energy (no corrections) at -5.1602 eV/atom.

```
Sc2TlSn
1.0
6.005 0.000 0.000
0.000 6.004 0.000
-2.867 0.000 10.835
Sc Tl Sn
8 4 4
Direct
0.178 0.127 0.129 Sc
0.178 0.873 0.629 Sc
0.307 0.375 0.870 Sc
0.307 0.625 0.370 Sc
0.693 0.375 0.630 Sc
0.693 0.625 0.130 Sc
0.822 0.127 0.371 Sc
0.822 0.873 0.871 Sc
0.334 0.125 0.399 Tl
0.334 0.875 0.899 Tl
0.666 0.125 0.101 Tl
0.666 0.875 0.601 Tl
0.177 0.372 0.596 Sn
0.177 0.628 0.096 Sn
0.823 0.372 0.904 Sn
0.823 0.628 0.404 Sn
```



Material: PmPaBi2
Method: DFT, PBE
State: optimized geometry

Properties
The polymorph energy (0 for the lowest one) comes out at 0 meV/atom. The calculated formation energy is -1.94 eV/f.u. The value obtained for the spin magnetization is 0.300 μB per atom. The calculation puts the total DFT energy (no corrections) at -5.9867 eV/atom.

```
PmPaBi2
1.0
4.538 -9.039 0.000
4.538 9.039 0.000
-4.487 0.000 6.410
Pm Pa Bi
4 4 8
Direct
0.061 0.939 0.750 Pm
0.186 0.814 0.250 Pm
0.814 0.186 0.750 Pm
0.939 0.061 0.250 Pm
0.311 0.689 0.750 Pa
0.436 0.564 0.250 Pa
0.564 0.436 0.750 Pa
0.689 0.311 0.250 Pa
0.064 0.439 0.254 Bi
0.195 0.320 0.754 Bi
0.320 0.195 0.254 Bi
0.439 0.064 0.754 Bi
0.561 0.936 0.246 Bi
0.680 0.805 0.746 Bi
0.805 0.680 0.246 Bi
0.936 0.561 0.746 Bi
```



Material: TiSe2N
Method: DFT, PBE
State: optimized geometry

Properties
The polymorph energy (0 for the lowest one) comes out at 723 meV/atom. The value obtained for the spin magnetization is 0.000 μB per atom. The calculation puts the total DFT energy (no corrections) at -4.8076 eV/atom. The calculation puts the uncorrected formation energy at 0.99 eV/atom.

```
TiSe2N
1.0
1.597 0.922 7.763
-1.597 0.922 7.763
0.000 -1.844 7.763
Ti Se N
1 2 1
Direct
0.000 0.000 0.000 Ti
0.105 0.105 0.105 Se
0.895 0.895 0.895 Se
0.500 0.500 0.500 N
```



Material: Ce4Bi2TeAs
Method: DFT, PBE
State: optimized geometry

Properties
The value obtained for the spin magnetization is 0.481 μB per atom. The calculation puts the total DFT energy (no corrections) at -5.9914 eV/atom. The calculation puts the uncorrected formation energy at -1.08 eV/atom.

```
Ce4Bi2TeAs
1.0
7.751 0.000 0.000
0.000 4.459 0.000
-2.560 0.000 7.357
Ce Bi Te As
4 2 1 1
Direct
0.233 0.000 0.231 Ce
0.242 0.500 0.762 Ce
0.758 0.500 0.238 Ce
0.767 0.000 0.769 Ce
0.000 0.000 0.500 Bi
0.500 0.500 0.500 Bi
0.500 0.000 0.000 Te
0.000 0.500 0.000 As
```



Material: Tc2OsPb
Method: DFT, PBE
State: optimized geometry

Properties
The calculated formation energy is 3.22 eV/f.u. The value obtained for the spin magnetization is 0.000 μB per atom. The calculation puts the total DFT energy (no corrections) at -8.1137 eV/atom.

```
Tc2OsPb
1.0
-1.583 2.308 4.524
1.583 -2.308 4.524
1.583 2.308 -4.524
Tc Os Pb
2 1 1
Direct
0.247 0.247 0.000 Tc
0.753 0.753 0.000 Tc
0.500 0.000 0.500 Os
0.000 0.500 0.500 Pb
```



Material: MnBeAu4
Method: DFT, PBE
State: optimized geometry

Properties
The polymorph energy (0 for the lowest one) comes out at 0 meV/atom. The calculated formation energy is -0.46 eV/f.u. The value obtained for the spin magnetization is 0.671 μB per atom. The calculation puts the total DFT energy (no corrections) at -4.4112 eV/atom.

```
MnBeAu4
1.0
4.901 -1.561 0.000
4.901 1.561 0.000
-2.154 0.000 6.268
Mn Be Au
1 1 4
Direct
0.000 0.000 0.000 Mn
0.000 0.000 0.500 Be
0.331 0.331 0.187 Au
0.365 0.365 0.649 Au
0.635 0.635 0.351 Au
0.669 0.669 0.813 Au
```